Density functional theory data (PBE-GGA) for an optimized crystal structure of LaPmAg4.

Values from the calculation:
Polymorph energy (0 for the lowest one) = 0.0038 eV per atom
Formation energy = -0.268 eV/atom
Space group = No. 47
DOS at the Fermi energy = 5.67 states/eV per cell

Cell lengths 3.6304, 4.8542, 8.3010 Å; angles 90.00, 90.00, 90.00 degrees
Closest atoms and distances in Å follow each position.
Fractional positions:
1 La 0.0000 0.0000 0.0000  12 Ag 3.32-3.34, 2 La 3.63
2 Pm 0.0000 0.5000 0.5000  12 Ag 3.29-3.33, 2 Pm 3.63
3 Ag 0.5000 0.0000 0.3344  3 Ag 2.75-2.78
4 Ag 0.5000 0.0000 0.6656  3 Ag 2.75-2.78
5 Ag 0.5000 0.5000 0.1701  3 Ag 2.78-2.82
6 Ag 0.5000 0.5000 0.8299  3 Ag 2.78-2.82